Entry 1:
Compound: Sr2ZrMn2
Source: Alexandria via LeMat-Bulk
Functional: PBE-GGA
Structure: relaxed

## Properties
Space group: P4/mbm
Polymorph energy (0 for the lowest one), meV/atom: 0

abc: 6.764 6.764 5.326
angles: 90.00 90.00 90.00
Positions (direct):
Sr1 0.179 0.321 0.000
Sr2 0.321 0.821 0.000
Sr3 0.679 0.179 0.000
Sr4 0.821 0.679 0.000
Zr1 0.000 0.000 0.500
Zr2 0.500 0.500 0.500
Mn1 0.107 0.607 0.500
Mn2 0.393 0.107 0.500
Mn3 0.607 0.893 0.500
Mn4 0.893 0.393 0.500

Entry 2:
Compound: SrZrMn2
Source: Alexandria via LeMat-Bulk
Functional: PBE-GGA
Structure: relaxed

## Properties
Space group: I4_1/amd
Polymorph energy (0 for the lowest one), meV/atom: 529

abc: 9.453 9.453 9.453
angles: 148.45 148.45 45.22
Positions (direct):
Sr1 0.375 0.625 0.750
Sr2 0.625 0.375 0.250
Zr1 0.125 0.875 0.250
Zr2 0.875 0.125 0.750
Mn1 0.000 0.000 0.000
Mn2 0.000 0.000 0.500
Mn3 0.000 0.500 0.000
Mn4 0.500 0.000 0.500

Entry 3:
Compound: SrZrMn2
Source: Alexandria via LeMat-Bulk
Functional: PBE-GGA
Structure: relaxed

## Properties
Space group: Cmmm
Polymorph energy (0 for the lowest one), meV/atom: 255

abc: 5.169 5.169 3.313
angles: 90.00 90.00 90.13
Positions (direct):
Sr1 0.000 0.000 0.000
Zr1 0.500 0.500 0.000
Mn1 0.000 0.500 0.500
Mn2 0.500 0.000 0.500

Entry 4:
Compound: Sr2ZrMn
Source: Alexandria via LeMat-Bulk
Functional: PBE-GGA
Structure: relaxed

## Properties
Space group: I4/mmm
Polymorph energy (0 for the lowest one), meV/atom: 426

abc: 6.345 6.345 6.345
angles: 135.20 135.20 65.22
Positions (direct):
Sr1 0.250 0.750 0.500
Sr2 0.750 0.250 0.500
Zr1 0.000 0.000 0.000
Mn1 0.500 0.500 0.000

Entry 5:
Compound: SrZrMn4
Source: Alexandria via LeMat-Bulk
Functional: PBE-GGA
Structure: relaxed

## Properties
Space group: F-43m

abc: 5.134 5.134 5.134
angles: 60.00 60.00 60.00
Positions (direct):
Sr1 0.000 0.000 0.000
Zr1 0.750 0.750 0.750
Mn1 0.375 0.375 0.375
Mn2 0.375 0.375 0.874
Mn3 0.375 0.874 0.375
Mn4 0.874 0.375 0.375

Entry 6:
Compound: Sr2ZrMn
Source: Alexandria via LeMat-Bulk
Functional: PBE-GGA
Structure: relaxed

## Properties
Space group: Pmmm
Polymorph energy (0 for the lowest one), meV/atom: 418

abc: 4.821 4.866 5.261
angles: 90.00 90.00 90.00
Positions (direct):
Sr1 0.000 0.000 0.000
Sr2 0.500 0.500 0.000
Zr1 0.000 0.500 0.500
Mn1 0.500 0.000 0.500

Number 1: DFT formation energy 0.768 eV/atom, magnetization 0.0 μB/f.u., uncorrected energy -26.4 eV per formula unit. Number 2: DFT formation energy 0.845 eV/atom, magnetization 5.1 μB/f.u., uncorrected energy -25.2 eV per formula unit. Number 3: DFT formation energy 0.571 eV/atom, magnetization 6.5 μB/f.u., uncorrected energy -26.3 eV per formula unit. Number 4: DFT formation energy 0.743 eV/atom, magnetization 1.5 μB/f.u., uncorrected energy -18.1 eV per formula unit. Number 5: DFT formation energy 0.473 eV/atom, magnetization 5.2 μB/f.u., uncorrected energy -44.1 eV per formula unit. Number 6: DFT formation energy 0.735 eV/atom, magnetization 1.8 μB/f.u., uncorrected energy -18.1 eV per formula unit.